A plane-wave DFT calculation with GGA-PBE was carried out for a relaxed LiHoScHg crystal.

DFT formation energy: -0.203 eV/atom
Calculated total energy: -3.485 eV/atom
Magnetic moment: 0.004 μB/cell
V: 22.9 Å³ per atom

Geometry as POSCAR:
```
LiHoScHg
1.0
-1.6185 -3.8436 -2.8699
2.0069 -0.7548 -4.5861
3.0088 -3.9878 -0.8212
Sc Li Hg Ho
1 1 1 1
direct
0.7500 0.7500 0.7500 Sc
0.5000 0.5000 0.5000 Li
0.0000 0.0000 0.0000 Hg
0.2500 0.2500 0.2500 Ho
```

A plane-wave DFT calculation with GGA-PBE was carried out for a relaxed Sr2CaInO5 crystal.

Calculated total energy: -5.884 eV/atom
Formation energy from raw total energies: -2.229 eV per atom
Magnetic moment: 2.044 μB/cell
V: 15.4 Å³ per atom

Geometry as POSCAR:
```
Sr2CaInO5
1.0
3.6239 0.0000 0.0000
-1.8120 7.1806 0.0000
0.0000 0.0000 10.6398
Sr Ca In O
4 2 2 10
direct
0.8678 0.7357 0.7874 Sr
0.1155 0.2309 0.6868 Sr
0.1322 0.2643 0.2874 Sr
0.8845 0.7691 0.1868 Sr
0.7853 0.5706 0.5091 Ca
0.2147 0.4294 0.0091 Ca
0.5236 0.0471 0.9745 In
0.4764 0.9529 0.4745 In
0.3731 0.7461 0.9930 O
0.6663 0.3326 0.8741 O
0.5056 0.0112 0.7756 O
0.2868 0.5736 0.6586 O
0.9485 0.8971 0.5648 O
0.6269 0.2539 0.4930 O
0.3337 0.6674 0.3741 O
0.4944 0.9888 0.2756 O
0.7132 0.4264 0.1586 O
0.0515 0.1029 0.0648 O
```

A plane-wave DFT calculation with GGA-PBE was carried out for a relaxed SrLiCu2 crystal.

DFT formation energy: -0.033 eV/atom
Calculated total energy: -2.980 eV/atom
Magnetic moment: 0.000 μB/cell
V: 21.7 Å³ per atom

Geometry as POSCAR:
```
SrLiCu2
1.0
4.3051 0.0155 0.0822
2.1436 3.7335 0.0822
2.0662 1.2012 5.4539
Sr Cu Li
1 2 1
direct
0.2591 0.2591 0.2219 Sr
0.0578 0.0578 0.8265 Cu
0.7349 0.7349 0.7958 Cu
0.4483 0.4483 0.6558 Li
```

A plane-wave DFT calculation with GGA-PBE was carried out for a relaxed NaNi2S2 crystal.

Calculated total energy: -4.749 eV/atom
Formation energy from raw total energies: -0.521 eV per atom
Magnetic moment: 0.000 μB/cell
V: 16.8 Å³ per atom

Geometry as POSCAR:
```
NaNi2S2
1.0
-3.7301 1.6887 4.1894
-3.2545 -2.3757 -4.2521
3.4079 -4.2709 2.2484
Na Ni S
2 4 4
direct
0.1283 0.8717 0.2500 Na
0.8717 0.1283 0.7500 Na
0.7779 0.5150 0.4976 Ni
0.4850 0.2221 0.0024 Ni
0.5150 0.7779 0.9976 Ni
0.2221 0.4850 0.5024 Ni
0.4368 0.5632 0.2500 S
0.8254 0.1746 0.2500 S
0.1746 0.8254 0.7500 S
0.5632 0.4368 0.7500 S
```

A plane-wave DFT calculation with GGA-PBE was carried out for a relaxed In3WAu crystal.

DFT formation energy: 1.235 eV/atom
Calculated total energy: -3.654 eV/atom
Magnetic moment: 3.983 μB/cell
V: 28.7 Å³ per atom

Geometry as POSCAR:
```
In3WAu
1.0
-2.1887 -0.8369 4.6808
4.3174 -2.5090 1.5702
1.9925 4.5172 1.7393
Au W In
1 1 3
direct
0.0000 0.0000 0.0000 Au
0.5000 0.5000 0.5000 W
0.0000 0.5000 0.0000 In
0.0000 0.0000 0.5000 In
0.5000 0.0000 0.0000 In
```

A plane-wave DFT calculation with GGA-PBE was carried out for a relaxed Y3Er3In2 crystal.

DFT formation energy: -0.268 eV/atom
Calculated total energy: -5.087 eV/atom
Magnetic moment: 0.073 μB/cell
V: 28.2 Å³ per atom

Geometry as POSCAR:
```
Y3Er3In2
1.0
4.8463 0.0000 0.0000
0.0000 4.8331 0.0000
0.0000 0.0000 9.6427
Y Er In
3 3 2
direct
0.5000 0.0000 0.5000 Y
0.0000 0.5000 0.0000 Y
0.0000 0.5000 0.5000 Y
0.5000 0.5000 0.7518 Er
0.5000 0.5000 0.2482 Er
0.5000 0.0000 0.0000 Er
0.0000 0.0000 0.7505 In
0.0000 0.0000 0.2495 In
```

A plane-wave DFT calculation with GGA-PBE was carried out for a relaxed GdDyTe2 crystal.

Calculated total energy: -7.464 eV/atom
Formation energy from raw total energies: -1.223 eV per atom
Magnetic moment: 8.158 μB/cell
V: 27.4 Å³ per atom

Geometry as POSCAR:
```
GdDyTe2
1.0
-2.8839 2.4080 -0.5440
-1.8837 -2.6872 -1.9083
-3.1947 -2.3623 6.4799
Gd Te Dy
1 2 1
direct
0.5000 0.5000 0.5000 Gd
0.0000 0.0000 0.7535 Te
0.0000 0.0000 0.2465 Te
0.5000 0.5000 0.0000 Dy
```

A plane-wave DFT calculation with GGA-PBE was carried out for a relaxed CsSnHgSe2 crystal.

Calculated total energy: -2.853 eV/atom
Formation energy from raw total energies: -0.428 eV per atom
Magnetic moment: 0.000 μB/cell
V: 35.5 Å³ per atom

Geometry as POSCAR:
```
CsSnHgSe2
1.0
5.5576 0.0000 0.0000
0.0000 5.5576 0.0000
0.0000 0.0000 5.7425
Cs Hg Se Sn
1 1 2 1
direct
0.5000 0.5000 0.5000 Cs
0.0000 0.0000 0.5000 Hg
0.0000 0.5000 0.0000 Se
0.5000 0.0000 0.0000 Se
0.0000 0.0000 0.0000 Sn
```